No. 1
A relaxed TaIn2Ir crystal. Source: Alexandria via LeMat-Bulk, functional PBE-GGA.

Properties
The formation energy is 0.238 eV/atom. For the magnetic moment, the calculation gives 0.00 Bohr magnetons per cell. As for the electronic total energy: -25.24 eV per cell. The energy above the most stable polymorph in this dataset is 366 meV/atom.

Cell: 5.2554 5.2554 2.9900 Å, 90.00 90.00 114.54°
With the nearest neighbours (Å) after each atom.
Element x y z (fractional)
Ta 0.0000 0.0000 0.0000  2 Ir 2.84, 2 Ta 2.99, 8 In 3.02
In 0.0000 0.5000 0.5000  4 In 2.84-2.99, 4 Ta 3.02, 4 Ir 3.02
In 0.5000 0.0000 0.5000  4 In 2.84-2.99, 4 Ta 3.02, 4 Ir 3.02
Ir 0.5000 0.5000 0.0000  2 Ta 2.84, 2 Ir 2.99, 8 In 3.02

=====

No. 2
A relaxed MgCd4Os crystal. Source: Alexandria via LeMat-Bulk, functional PBE-GGA.

Properties
The formation energy is 0.521 eV/atom. For the magnetic moment, the calculation gives 0.00 Bohr magnetons per cell. As for the electronic total energy: -13.36 eV per cell.

Cell: 5.5247 5.5247 5.5247 Å, 60.00 60.00 60.00°
With the nearest neighbours (Å) after each atom.
Element x y z (fractional)
Mg 0.0000 0.0000 0.0000  12 Cd 3.24, 4 Os 3.38
Cd 0.3756 0.3756 0.3756  6 Cd 2.75-2.78
Cd 0.3756 0.3756 0.8732  6 Cd 2.75-2.78
Cd 0.3756 0.8732 0.3756  6 Cd 2.75-2.78
Cd 0.8732 0.3756 0.3756  6 Cd 2.75-2.78
Os 0.7500 0.7500 0.7500  12 Cd 3.24, 4 Mg 3.38

=====

No. 3
A relaxed Tb3SmIr crystal. Source: Alexandria via LeMat-Bulk, functional PBE-GGA.

Properties
The formation energy is -0.320 eV/atom. For the magnetic moment, the calculation gives 0.00 Bohr magnetons per cell. As for the electronic total energy: -58.15 eV per cell. The energy above the most stable polymorph in this dataset is 0 meV/atom.

Cell: 7.6743 6.5714 6.2440 Å, 90.00 90.00 90.00°
With the nearest neighbours (Å) after each atom.
Element x y z (fractional)
Tb 0.0000 0.1536 0.0000  1 Ir 2.76
Tb 0.2492 0.6832 0.0051  2 Ir 2.75
Tb 0.2508 0.3168 0.5051  2 Ir 2.75
Tb 0.5000 0.8464 0.5000  1 Ir 2.76
Tb 0.7492 0.3168 0.5051  2 Ir 2.75
Tb 0.7508 0.6832 0.0051  2 Ir 2.75
Sm 0.0000 0.8506 0.5093  1 Ir 2.82
Sm 0.5000 0.1494 0.0093  1 Ir 2.82
Ir 0.0000 0.4969 0.2543  5 Tb 2.75-2.76, 1 Sm 2.82
Ir 0.5000 0.5031 0.7543  5 Tb 2.75-2.76, 1 Sm 2.82

=====

No. 4
A relaxed GdNiAgPb crystal. Source: Alexandria via LeMat-Bulk, functional PBE-GGA.

Properties
The formation energy is -0.194 eV/atom. For the magnetic moment, the calculation gives 7.19 Bohr magnetons per cell. As for the electronic total energy: -27.20 eV per cell.

Cell: 4.8978 4.8978 4.8978 Å, 60.00 60.00 60.00°
With the nearest neighbours (Å) after each atom.
Element x y z (fractional)
Gd 0.0000 0.0000 0.0000  4 Ni 3.00, 4 Ag 3.00
Ni 0.2500 0.2500 0.2500  4 Gd 3.00, 4 Pb 3.00
Ag 0.7500 0.7500 0.7500  4 Pb 3.00, 4 Gd 3.00
Pb 0.5000 0.5000 0.5000  4 Ag 3.00, 4 Ni 3.00

=====

No. 5
A relaxed AlIrPt crystal. Source: Alexandria via LeMat-Bulk, functional PBE-GGA.

Properties
The formation energy is -0.403 eV/atom. For the magnetic moment, the calculation gives 0.00 Bohr magnetons per cell. As for the electronic total energy: -19.85 eV per cell. The energy above the most stable polymorph in this dataset is 193 meV/atom.

Cell: 6.8397 6.5794 2.7990 Å, 83.23 72.79 23.98°
With the nearest neighbours (Å) after each atom.
Element x y z (fractional)
Al 0.0000 0.0000 0.0000  2 Ir 2.44, 2 Pt 2.48
Ir 0.6518 0.6518 0.3482  2 Al 2.44
Pt 0.3442 0.3442 0.6558  2 Al 2.48

=====

No. 6
A relaxed SbSeCl4 crystal. Source: Alexandria via LeMat-Bulk, functional PBE-GGA.

Properties
For the magnetic moment, the calculation gives 2.85 Bohr magnetons per cell. As for the electronic total energy: -10.95 eV per cell.

Cell: 5.8199 5.8199 5.8199 Å, 60.00 60.00 60.00°
With the nearest neighbours (Å) after each atom.
Element x y z (fractional)
Sb 0.0000 0.0000 0.0000  12 Cl 3.41, 4 Se 3.56
Se 0.7500 0.7500 0.7500  12 Cl 3.41, 4 Sb 3.56
Cl 0.3746 0.3746 0.3746  6 Cl 2.90-2.92
Cl 0.3746 0.3746 0.8760  6 Cl 2.90-2.92
Cl 0.3746 0.8760 0.3746  6 Cl 2.90-2.92
Cl 0.8760 0.3746 0.3746  6 Cl 2.90-2.92

=====

No. 7
A relaxed Th2Ge4Pt3Au crystal. Source: Alexandria via LeMat-Bulk, functional PBE-GGA.

Properties
The formation energy is -0.834 eV/atom. For the magnetic moment, the calculation gives 0.00 Bohr magnetons per cell. As for the electronic total energy: -63.05 eV per cell.

Cell: 4.4242 4.4242 10.0647 Å, 90.00 90.00 90.00°
With the nearest neighbours (Å) after each atom.
Element x y z (fractional)
Th 0.0000 0.5000 0.2487  8 Ge 3.34, 7 Pt 3.36-3.71, 2 Au 3.36
Th 0.5000 0.0000 0.7513  8 Ge 3.34, 7 Pt 3.36-3.71, 2 Au 3.36
Ge 0.0000 0.0000 0.0000  4 Pt 2.52
Ge 0.0000 0.5000 0.6361  3 Pt 2.45-2.60, 2 Au 2.60
Ge 0.5000 0.0000 0.3639  3 Pt 2.45-2.60, 2 Au 2.60
Ge 0.5000 0.5000 0.0000  4 Pt 2.52
Pt 0.0000 0.5000 0.8800  5 Ge 2.45-2.52
Pt 0.5000 0.0000 0.1200  5 Ge 2.45-2.52
Pt 0.5000 0.5000 0.5000  4 Ge 2.60
Au 0.0000 0.0000 0.5000  4 Ge 2.60

=====

No. 8
A relaxed Pr5Nd4Y3 crystal. Source: Alexandria via LeMat-Bulk, functional PBE-GGA.

Properties
The formation energy is 0.207 eV/atom. For the magnetic moment, the calculation gives 0.00 Bohr magnetons per cell. As for the electronic total energy: -59.88 eV per cell.

Cell: 8.8256 8.8256 9.5638 Å, 114.89 114.89 40.13°
With the nearest neighbours (Å) after each atom.
Element x y z (fractional)
Pr 0.0000 0.0000 0.0000  4 Y 3.03-3.15
Pr 0.3280 0.3280 0.6111  4 Y 3.30-3.57, 3 Nd 3.51-3.63
Pr 0.4258 0.4258 0.2984  2 Y 3.36-3.58, 1 Pr 3.53
Pr 0.5742 0.5742 0.7016  2 Y 3.36-3.58, 1 Pr 3.53
Pr 0.6720 0.6720 0.3889  4 Y 3.30-3.57, 3 Nd 3.51-3.63
Nd 0.0833 0.0833 0.4440  2 Nd 3.38-3.74, 3 Pr 3.51-3.63, 1 Y 3.53
Nd 0.2191 0.2191 0.8790  3 Y 3.41-3.57, 3 Nd 3.67-3.74, 3 Pr 3.74-3.76
Nd 0.7809 0.7809 0.1210  3 Y 3.41-3.57, 3 Nd 3.67-3.74, 3 Pr 3.74-3.76
Nd 0.9167 0.9167 0.5560  2 Nd 3.38-3.74, 3 Pr 3.51-3.63, 1 Y 3.53
Y 0.2082 0.2082 0.2268  3 Pr 3.15-3.36, 1 Nd 3.41
Y 0.5000 0.5000 0.0000  2 Pr 3.03
Y 0.7918 0.7918 0.7732  3 Pr 3.15-3.36, 1 Nd 3.41

=====

No. 9
A relaxed Tb7PmHo4 crystal. Source: Alexandria via LeMat-Bulk, functional PBE-GGA.

Properties
The formation energy is -0.003 eV/atom. For the magnetic moment, the calculation gives 0.00 Bohr magnetons per cell. As for the electronic total energy: -55.51 eV per cell. The energy above the most stable polymorph in this dataset is 0 meV/atom.

Cell: 6.2081 7.1695 8.8323 Å, 90.00 103.53 90.02°
With the nearest neighbours (Å) after each atom.
Element x y z (fractional)
Tb 0.0000 0.0000 0.0000  4 Ho 3.54, 6 Tb 3.54-3.58, 2 Pm 3.58
Tb 0.2222 0.5003 0.6654  6 Tb 3.52-3.59, 5 Ho 3.52-3.59, 1 Pm 3.54
Tb 0.2790 0.2486 0.3354  6 Ho 3.50-3.60, 5 Tb 3.52-3.59, 1 Pm 3.55
Tb 0.5001 0.2487 0.9997  3 Ho 3.54, 7 Tb 3.54-3.60, 2 Pm 3.59
Tb 0.4999 0.7513 0.0003  3 Ho 3.54, 7 Tb 3.54-3.60, 2 Pm 3.59
Tb 0.7210 0.7514 0.6646  6 Ho 3.50-3.60, 5 Tb 3.52-3.59, 1 Pm 3.55
Tb 0.7778 0.4997 0.3346  6 Tb 3.52-3.59, 5 Ho 3.52-3.59, 1 Pm 3.54
Pm 0.0000 0.5000 0.0000  10 Tb 3.54-3.59, 2 Ho 3.55
Ho 0.2206 0.0002 0.6655  8 Tb 3.51-3.59, 4 Ho 3.51-3.58
Ho 0.2787 0.7512 0.3349  8 Tb 3.50-3.60, 3 Ho 3.51-3.58, 1 Pm 3.55
Ho 0.7213 0.2488 0.6651  8 Tb 3.50-3.60, 3 Ho 3.51-3.58, 1 Pm 3.55
Ho 0.7794 0.9998 0.3345  8 Tb 3.51-3.59, 4 Ho 3.51-3.58

=====

No. 10
A relaxed Sr4HAu crystal. Source: Alexandria via LeMat-Bulk, functional PBE-GGA.

Properties
For the magnetic moment, the calculation gives 0.00 Bohr magnetons per cell. As for the electronic total energy: -31.11 eV per cell. The energy above the most stable polymorph in this dataset is 17 meV/atom.

Cell: 9.5039 9.5039 7.2928 Å, 112.46 112.46 114.35°
With the nearest neighbours (Å) after each atom.
Element x y z (fractional)
Sr 0.0443 0.6481 0.8631  1 H 2.54
Sr 0.2152 0.3192 0.6721  1 H 2.54
Sr 0.3192 0.2152 0.1721  1 H 2.54
Sr 0.3519 0.9557 0.6369  1 H 2.54
Sr 0.6481 0.0443 0.3631  1 H 2.54
Sr 0.6808 0.7848 0.8279  1 H 2.54
Sr 0.7848 0.6808 0.3279  1 H 2.54
Sr 0.9557 0.3519 0.1369  1 H 2.54
H 0.1241 0.8759 0.7500  4 Sr 2.54
H 0.8759 0.1241 0.2500  4 Sr 2.54
Au 0.3752 0.6248 0.2500  8 Sr 3.26-3.49
Au 0.6248 0.3752 0.7500  8 Sr 3.26-3.49

=====

No. 11
A relaxed RbBaN2O crystal. Source: Alexandria via LeMat-Bulk, functional PBE-GGA.

Properties
For the magnetic moment, the calculation gives 5.01 Bohr magnetons per cell. As for the electronic total energy: -21.16 eV per cell.

Cell: 5.4071 5.4071 4.9173 Å, 90.00 90.00 90.00°
With the nearest neighbours (Å) after each atom.
Element x y z (fractional)
Rb 0.0000 0.0000 0.0000  8 N 3.65, 4 O 3.82
Ba 0.5000 0.5000 0.5000  2 O 2.46, 4 N 2.70
N 0.0000 0.5000 0.5000  2 Ba 2.70
N 0.5000 0.0000 0.5000  2 Ba 2.70
O 0.5000 0.5000 0.0000  2 Ba 2.46

=====

No. 12
A relaxed KHg2AsF crystal. Source: Alexandria via LeMat-Bulk, functional PBE-GGA.

Properties
For the magnetic moment, the calculation gives 2.32 Bohr magnetons per cell. As for the electronic total energy: -7.13 eV per cell.

Cell: 6.9615 6.9615 6.4726 Å, 90.00 90.00 90.00°
With the nearest neighbours (Å) after each atom.
Element x y z (fractional)
K 0.0000 0.0000 0.0000  2 As 3.24, 4 Hg 3.48
Hg 0.0000 0.5000 0.0000  2 K 3.48
Hg 0.5000 0.0000 0.0000  2 K 3.48
As 0.0000 0.0000 0.5000  2 K 3.24
F 0.5000 0.5000 0.5000  8 Hg 4.75, 4 As 4.92

=====

No. 13
A relaxed Cs4In2Hg crystal. Source: Alexandria via LeMat-Bulk, functional PBE-GGA.

Properties
The formation energy is 0.021 eV/atom. For the magnetic moment, the calculation gives 0.00 Bohr magnetons per cell. As for the electronic total energy: -9.04 eV per cell.

Cell: 10.5345 10.5345 10.5345 Å, 137.77 137.77 61.25°
With the nearest neighbours (Å) after each atom.
Element x y z (fractional)
Cs 0.0000 0.5000 0.5000  2 Hg 3.79, 4 In 4.05
Cs 0.2104 0.2104 0.0000  1 Hg 3.82, 1 In 3.83
Cs 0.5000 0.0000 0.5000  2 Hg 3.79, 4 In 4.05
Cs 0.7896 0.7896 0.0000  1 Hg 3.82, 1 In 3.83
In 0.4218 0.4218 0.0000  1 In 2.84
In 0.5782 0.5782 0.0000  1 In 2.84
Hg 0.0000 0.0000 0.0000  6 Cs 3.79-3.82

=====

No. 14
A relaxed HfFeAs2Se crystal. Source: Alexandria via LeMat-Bulk, functional PBE-GGA.

Properties
For the magnetic moment, the calculation gives 1.29 Bohr magnetons per cell. As for the electronic total energy: -29.77 eV per cell. The energy above the most stable polymorph in this dataset is 0 meV/atom.

Cell: 4.4347 4.4347 5.0113 Å, 90.00 90.00 90.00°
With the nearest neighbours (Å) after each atom.
Element x y z (fractional)
Hf 0.0000 0.0000 0.0000  4 Se 3.14, 8 As 3.35
Fe 0.5000 0.5000 0.5000  4 As 2.22
As 0.0000 0.5000 0.5000  2 Fe 2.22
As 0.5000 0.0000 0.5000  2 Fe 2.22
Se 0.5000 0.5000 0.0000  2 Fe 2.51

=====

No. 15
A relaxed YSiGe crystal. Source: Alexandria via LeMat-Bulk, functional PBE-GGA.

Properties
For the magnetic moment, the calculation gives 0.00 Bohr magnetons per cell. As for the electronic total energy: -36.10 eV per cell. The energy above the most stable polymorph in this dataset is 72 meV/atom.

Cell: 5.9879 5.9879 5.9879 Å, 142.02 96.60 95.56°
With the nearest neighbours (Å) after each atom.
Element x y z (fractional)
Y 0.2481 0.0000 0.2481  4 Si 3.02, 6 Ge 3.11-3.32
Y 0.7519 0.0000 0.7519  4 Si 3.02, 6 Ge 3.11-3.32
Si 0.1476 0.6476 0.5000  1 Si 2.38, 2 Ge 2.45
Si 0.8524 0.3524 0.5000  1 Si 2.38, 2 Ge 2.45
Ge 0.3311 0.3311 0.0000  2 Si 2.45, 1 Ge 2.72
Ge 0.6689 0.6689 0.0000  2 Si 2.45, 1 Ge 2.72

=====

No. 16
A relaxed Zn4MoOs crystal. Source: Alexandria via LeMat-Bulk, functional PBE-GGA.

Properties
The formation energy is 0.189 eV/atom. For the magnetic moment, the calculation gives 0.00 Bohr magnetons per cell. As for the electronic total energy: -26.03 eV per cell.

Cell: 4.8926 4.8926 4.8926 Å, 60.00 60.00 60.00°
With the nearest neighbours (Å) after each atom.
Element x y z (fractional)
Zn 0.1248 0.1248 0.1248  6 Zn 2.44-2.45
Zn 0.1248 0.1248 0.6255  6 Zn 2.44-2.45
Zn 0.1248 0.6255 0.1248  6 Zn 2.44-2.45
Zn 0.6255 0.1248 0.1248  6 Zn 2.44-2.45
Mo 0.7500 0.7500 0.7500  12 Zn 2.87, 4 Os 3.00
Os 0.5000 0.5000 0.5000  12 Zn 2.87, 4 Mo 3.00

=====

No. 17
A relaxed AcErPb6 crystal. Source: Alexandria via LeMat-Bulk, functional PBE-GGA.

Properties
The formation energy is -0.327 eV/atom. For the magnetic moment, the calculation gives 0.00 Bohr magnetons per cell. As for the electronic total energy: -33.53 eV per cell.

Cell: 4.9965 4.9965 9.8247 Å, 90.00 90.00 90.00°
With the nearest neighbours (Å) after each atom.
Element x y z (fractional)
Ac 0.0000 0.0000 0.0000  12 Pb 3.53-3.59
Er 0.0000 0.0000 0.5000  12 Pb 3.42-3.53
Pb 0.0000 0.5000 0.2628  8 Pb 3.42-3.59, 2 Er 3.42, 2 Ac 3.59
Pb 0.0000 0.5000 0.7372  8 Pb 3.42-3.59, 2 Er 3.42, 2 Ac 3.59
Pb 0.5000 0.0000 0.2628  8 Pb 3.42-3.59, 2 Er 3.42, 2 Ac 3.59
Pb 0.5000 0.0000 0.7372  8 Pb 3.42-3.59, 2 Er 3.42, 2 Ac 3.59
Pb 0.5000 0.5000 0.0000  4 Ac 3.53, 8 Pb 3.59
Pb 0.5000 0.5000 0.5000  8 Pb 3.42, 4 Er 3.53

=====

No. 18
A relaxed AgAs2BrCl crystal. Source: Alexandria via LeMat-Bulk, functional PBE-GGA.

Properties
For the magnetic moment, the calculation gives 0.00 Bohr magnetons per cell. As for the electronic total energy: -11.45 eV per cell. The energy above the most stable polymorph in this dataset is 162 meV/atom.

Cell: 4.6990 4.6990 7.0145 Å, 90.00 90.00 90.00°
With the nearest neighbours (Å) after each atom.
Element x y z (fractional)
Ag 0.0000 0.0000 0.0000  4 Br 3.32
As 0.0000 0.5000 0.5000  2 Cl 2.35
As 0.5000 0.0000 0.5000  2 Cl 2.35
Br 0.5000 0.5000 0.0000  4 Ag 3.32, 2 Cl 3.51
Cl 0.5000 0.5000 0.5000  4 As 2.35

=====

No. 19
A relaxed Sm4Y5Hg crystal. Source: Alexandria via LeMat-Bulk, functional PBE-GGA.

Properties
The formation energy is -0.085 eV/atom. For the magnetic moment, the calculation gives 0.01 Bohr magnetons per cell. As for the electronic total energy: -52.35 eV per cell.

Cell: 3.6110 3.6110 24.2722 Å, 90.00 90.00 90.00°
With the nearest neighbours (Å) after each atom.
Element x y z (fractional)
Sm 0.0000 0.0000 0.1044  8 Y 3.60-3.61, 4 Sm 3.61
Sm 0.0000 0.0000 0.3135  8 Y 3.59-3.61, 4 Sm 3.61
Sm 0.0000 0.0000 0.6865  8 Y 3.59-3.61, 4 Sm 3.61
Sm 0.0000 0.0000 0.8956  8 Y 3.60-3.61, 4 Sm 3.61
Y 0.5000 0.5000 0.0000  8 Sm 3.60, 4 Y 3.61
Y 0.5000 0.5000 0.2094  8 Sm 3.59-3.61, 4 Y 3.61
Y 0.5000 0.5000 0.4184  4 Hg 3.23, 4 Sm 3.61, 4 Y 3.61
Y 0.5000 0.5000 0.5816  4 Hg 3.23, 4 Sm 3.61, 4 Y 3.61
Y 0.5000 0.5000 0.7906  8 Sm 3.59-3.61, 4 Y 3.61
Hg 0.0000 0.0000 0.5000  8 Y 3.23, 4 Hg 3.61

=====

No. 20
A relaxed La3Pm2Th2 crystal. Source: Alexandria via LeMat-Bulk, functional PBE-GGA.

Properties
The formation energy is 0.124 eV/atom. For the magnetic moment, the calculation gives 0.00 Bohr magnetons per cell. As for the electronic total energy: -38.25 eV per cell. The energy above the most stable polymorph in this dataset is 0 meV/atom.

Cell: 9.0779 9.0779 8.8143 Å, 119.03 119.03 22.48°
With the nearest neighbours (Å) after each atom.
Element x y z (fractional)
La 0.0000 0.0000 0.0000  4 La 3.44-3.54, 2 Th 3.55, 4 Pm 3.66
La 0.2193 0.2193 0.2858  3 Th 3.41-3.54, 5 La 3.44-3.81, 1 Pm 3.47
La 0.7807 0.7807 0.7142  3 Th 3.41-3.54, 5 La 3.44-3.81, 1 Pm 3.47
Pm 0.4383 0.4383 0.5918  3 Pm 3.31-3.54, 3 La 3.47-3.66
Pm 0.5617 0.5617 0.4082  3 Pm 3.31-3.54, 3 La 3.47-3.66
Th 0.1522 0.1522 0.8501  4 La 3.41-3.55, 4 Th 3.54-3.62, 2 Pm 3.77
Th 0.8478 0.8478 0.1499  4 La 3.41-3.55, 4 Th 3.54-3.62, 2 Pm 3.77